Entry 1:
La2PrNd2Sm2 | GGA-PBE | relaxed

Unit cell a=5.221 b=6.396 c=8.258 alpha=97.36 beta=90.00 gamma=114.09
Fractional coordinates of all 7 atoms:
La (0.143, 0.286, 0.428)
La (0.857, 0.714, 0.572)
Pr (0.000, 0.000, 0.000)
Nd (0.572, 0.143, 0.717)
Nd (0.428, 0.857, 0.283)
Sm (0.716, 0.431, 0.141)
Sm (0.284, 0.569, 0.859)

- SG: C2/m
- M_tot: 0.00 μB per formula unit
- Formation enthalpy at 0 K: 19 meV per atom
- Calculated density: 6.72 Mg/m³
- Total energy: -4.78 eV per atom



Entry 2:
LaPr2NdSm5 | GGA-PBE | relaxed

Unit cell a=8.880 b=8.880 c=10.187 alpha=115.84 beta=115.84 gamma=90.00
Fractional coordinates of all 18 atoms:
La (0.250, 0.250, 0.500)
La (0.750, 0.750, 0.500)
Pr (0.119, 0.381, 0.000)
Pr (0.619, 0.119, 0.000)
Pr (0.381, 0.881, 0.000)
Pr (0.881, 0.619, 0.000)
Nd (0.250, 0.750, 0.500)
Nd (0.750, 0.250, 0.500)
Sm (0.931, 0.431, 0.275)
Sm (0.656, 0.156, 0.725)
Sm (0.069, 0.569, 0.725)
Sm (0.156, 0.069, 0.725)
Sm (0.569, 0.656, 0.725)
Sm (0.844, 0.931, 0.275)
Sm (0.431, 0.344, 0.275)
Sm (0.344, 0.844, 0.275)
Sm (0.500, 0.500, 0.000)
Sm (0.000, 0.000, 0.000)

- SG: I4/mcm
- M_tot: 0.00 μB per formula unit
- Formation enthalpy at 0 K: 240 meV per atom
- Calculated density: 6.91 Mg/m³
- Total energy: -4.52 eV per atom



Entry 3:
LaPrNd6Sm2 | GGA-PBE | relaxed

Unit cell a=9.993 b=9.044 c=9.044 alpha=118.05 beta=94.40 gamma=94.40
Fractional coordinates of all 20 atoms:
La (0.250, 0.405, 0.595)
La (0.750, 0.595, 0.405)
Pr (0.250, 0.976, 0.024)
Pr (0.750, 0.024, 0.976)
Nd (0.055, 0.114, 0.750)
Nd (0.445, 0.250, 0.886)
Nd (0.945, 0.886, 0.250)
Nd (0.555, 0.750, 0.114)
Nd (0.319, 0.977, 0.431)
Nd (0.181, 0.569, 0.023)
Nd (0.681, 0.023, 0.569)
Nd (0.819, 0.431, 0.977)
Nd (0.121, 0.704, 0.494)
Nd (0.379, 0.506, 0.296)
Nd (0.879, 0.296, 0.506)
Nd (0.621, 0.494, 0.704)
Sm (0.456, 0.808, 0.709)
Sm (0.044, 0.291, 0.192)
Sm (0.544, 0.192, 0.291)
Sm (0.956, 0.709, 0.808)

- SG: C2/c
- M_tot: 0.00 μB per formula unit
- Formation enthalpy at 0 K: 111 meV per atom
- Calculated density: 6.73 Mg/m³
- Total energy: -4.66 eV per atom



Entry 4:
LaPr2Nd2Sm2 | GGA-PBE | relaxed

Unit cell a=5.214 b=6.390 c=8.253 alpha=97.32 beta=90.00 gamma=114.08
Fractional coordinates of all 7 atoms:
La (0.000, 0.000, 0.000)
Pr (0.714, 0.428, 0.145)
Pr (0.286, 0.572, 0.855)
Nd (0.142, 0.284, 0.430)
Nd (0.858, 0.716, 0.570)
Sm (0.572, 0.144, 0.712)
Sm (0.428, 0.856, 0.288)

- SG: C2/m
- M_tot: 0.00 μB per formula unit
- Formation enthalpy at 0 K: 16 meV per atom
- Calculated density: 6.75 Mg/m³
- Total energy: -4.76 eV per atom



Entry 5:
LaPrNd3Sm | GGA-PBE | relaxed

Unit cell a=5.854 b=10.835 c=6.995 alpha=90.52 beta=90.00 gamma=105.67
Fractional coordinates of all 12 atoms:
La (0.354, 0.707, 0.969)
La (0.646, 0.293, 0.031)
Pr (0.056, 0.112, 0.259)
Pr (0.944, 0.888, 0.741)
Nd (0.838, 0.675, 0.256)
Nd (0.780, 0.560, 0.746)
Nd (0.480, 0.961, 0.251)
Nd (0.220, 0.440, 0.254)
Nd (0.520, 0.039, 0.749)
Nd (0.162, 0.325, 0.744)
Sm (0.646, 0.291, 0.474)
Sm (0.354, 0.709, 0.526)

- SG: C2/m
- M_tot: 0.00 μB per formula unit
- Formation enthalpy at 0 K: 148 meV per atom
- Calculated density: 6.71 Mg/m³
- Total energy: -4.64 eV per atom



Entry 6:
La2Pr3NdSm6 | GGA-PBE | relaxed

Unit cell a=6.385 b=6.385 c=12.125 alpha=95.05 beta=95.05 gamma=120.04
Fractional coordinates of all 12 atoms:
La (0.333, 0.667, 0.000)
La (0.667, 0.333, 0.000)
Pr (0.166, 0.834, 0.500)
Pr (0.834, 0.166, 0.500)
Pr (0.500, 0.500, 0.500)
Nd (0.000, 0.000, 0.000)
Sm (0.916, 0.584, 0.749)
Sm (0.751, 0.751, 0.250)
Sm (0.084, 0.416, 0.251)
Sm (0.584, 0.916, 0.749)
Sm (0.249, 0.249, 0.750)
Sm (0.416, 0.084, 0.251)

- SG: C2/m
- M_tot: 0.00 μB per formula unit
- Formation enthalpy at 0 K: 13 meV per atom
- Calculated density: 6.89 Mg/m³
- Total energy: -4.76 eV per atom



Entry 7:
La2Pr6NdSm3 | GGA-PBE | relaxed

Unit cell a=6.415 b=6.415 c=12.252 alpha=95.06 beta=95.06 gamma=120.03
Fractional coordinates of all 12 atoms:
La (0.333, 0.667, 0.000)
La (0.667, 0.333, 0.000)
Pr (0.915, 0.582, 0.747)
Pr (0.752, 0.752, 0.253)
Pr (0.085, 0.418, 0.253)
Pr (0.582, 0.915, 0.747)
Pr (0.248, 0.248, 0.747)
Pr (0.418, 0.085, 0.253)
Nd (0.000, 0.000, 0.000)
Sm (0.166, 0.834, 0.500)
Sm (0.834, 0.166, 0.500)
Sm (0.500, 0.500, 0.500)

- SG: C2/m
- M_tot: 0.00 μB per formula unit
- Formation enthalpy at 0 K: 15 meV per atom
- Calculated density: 6.64 Mg/m³
- Total energy: -4.77 eV per atom



Entry 8:
La2Pr6Nd3Sm | GGA-PBE | relaxed

Unit cell a=6.427 b=6.427 c=12.290 alpha=95.06 beta=95.06 gamma=120.02
Fractional coordinates of all 12 atoms:
La (0.333, 0.667, 0.000)
La (0.667, 0.333, 0.000)
Pr (0.916, 0.584, 0.749)
Pr (0.751, 0.751, 0.251)
Pr (0.084, 0.416, 0.251)
Pr (0.584, 0.916, 0.749)
Pr (0.249, 0.249, 0.749)
Pr (0.416, 0.084, 0.251)
Nd (0.166, 0.834, 0.500)
Nd (0.834, 0.166, 0.500)
Nd (0.500, 0.500, 0.500)
Sm (0.000, 0.000, 0.000)

- SG: C2/m
- M_tot: 0.00 μB per formula unit
- Formation enthalpy at 0 K: 14 meV per atom
- Calculated density: 6.55 Mg/m³
- Total energy: -4.78 eV per atom



Entry 9:
La2PrNd2Sm | GGA-PBE | relaxed

Unit cell a=3.503 b=6.813 c=18.309 alpha=90.00 beta=90.00 gamma=90.00
Fractional coordinates of all 12 atoms:
La (0.500, 0.274, 0.316)
La (0.000, 0.774, 0.184)
La (0.500, 0.726, 0.684)
La (0.000, 0.226, 0.816)
Pr (0.000, 0.000, 0.000)
Pr (0.500, 0.500, 0.500)
Nd (0.500, 0.781, 0.352)
Nd (0.500, 0.219, 0.648)
Nd (0.000, 0.719, 0.852)
Nd (0.000, 0.281, 0.148)
Sm (0.500, 0.500, 0.000)
Sm (0.000, 0.000, 0.500)

- SG: Pnnm
- M_tot: 0.00 μB per formula unit
- Formation enthalpy at 0 K: 224 meV per atom
- Calculated density: 6.52 Mg/m³
- Total energy: -4.59 eV per atom



Entry 10:
LaPr3NdSm | GGA-PBE | relaxed

Unit cell a=5.891 b=10.890 c=6.979 alpha=90.59 beta=90.00 gamma=105.69
Fractional coordinates of all 12 atoms:
La (0.354, 0.707, 0.969)
La (0.646, 0.293, 0.031)
Pr (0.839, 0.678, 0.253)
Pr (0.780, 0.561, 0.743)
Pr (0.481, 0.962, 0.250)
Pr (0.220, 0.439, 0.257)
Pr (0.519, 0.038, 0.750)
Pr (0.161, 0.322, 0.747)
Nd (0.056, 0.113, 0.261)
Nd (0.944, 0.887, 0.739)
Sm (0.645, 0.289, 0.477)
Sm (0.355, 0.711, 0.523)

- SG: C2/m
- M_tot: 0.00 μB per formula unit
- Formation enthalpy at 0 K: 147 meV per atom
- Calculated density: 6.60 Mg/m³
- Total energy: -4.65 eV per atom



Entry 11:
LaPr6Nd2Sm | GGA-PBE | relaxed

Unit cell a=10.095 b=9.082 c=9.082 alpha=118.17 beta=94.77 gamma=94.77
Fractional coordinates of all 20 atoms:
La (0.250, 0.404, 0.596)
La (0.750, 0.596, 0.404)
Pr (0.055, 0.114, 0.750)
Pr (0.445, 0.250, 0.886)
Pr (0.945, 0.886, 0.250)
Pr (0.555, 0.750, 0.114)
Pr (0.316, 0.978, 0.427)
Pr (0.184, 0.573, 0.022)
Pr (0.684, 0.022, 0.573)
Pr (0.816, 0.427, 0.978)
Pr (0.121, 0.703, 0.497)
Pr (0.379, 0.503, 0.297)
Pr (0.879, 0.297, 0.503)
Pr (0.621, 0.497, 0.703)
Nd (0.457, 0.811, 0.713)
Nd (0.043, 0.287, 0.189)
Nd (0.543, 0.189, 0.287)
Nd (0.957, 0.713, 0.811)
Sm (0.250, 0.979, 0.021)
Sm (0.750, 0.021, 0.979)

- SG: C2/c
- M_tot: 0.00 μB per formula unit
- Formation enthalpy at 0 K: 108 meV per atom
- Calculated density: 6.52 Mg/m³
- Total energy: -4.68 eV per atom



Entry 12:
LaPr2Nd4Sm | GGA-PBE | relaxed

Unit cell a=3.701 b=12.284 c=6.381 alpha=79.67 beta=90.00 gamma=90.00
Fractional coordinates of all 8 atoms:
La (0.500, 0.500, 0.000)
Pr (0.000, 0.000, 0.000)
Pr (0.500, 0.000, 0.500)
Nd (0.000, 0.750, 0.750)
Nd (0.000, 0.250, 0.250)
Nd (0.500, 0.749, 0.251)
Nd (0.500, 0.251, 0.749)
Sm (0.000, 0.500, 0.500)

- SG: P2/m
- M_tot: 0.00 μB per formula unit
- Formation enthalpy at 0 K: 15 meV per atom
- Calculated density: 6.68 Mg/m³
- Total energy: -4.77 eV per atom